The following is a PBE calculation of a geometry-optimized Na2CaRuF8 structure, from Alexandria via LeMat-Bulk.

Computed properties:
E: -5.0340 eV/atom
Formation energy from raw total energies: -31.52 eV/f.u.
Total moment: 2.00 Bohr magnetons per cell

a = 4.991 Å, b = 5.241 Å, c = 6.969 Å
α = 90.00°, β = 90.00°, γ = 90.69°
Site moments in Bohr magnetons follow the coordinates.
Fractional positions:
Na 0.500 0.500 0.742  0.00
Na 0.500 0.500 0.258  0.00
Ca 0.000 0.000 0.500  0.00
Ru 0.000 0.000 0.000  1.54
F 0.182 0.819 0.212  0.03
F 0.727 0.740 0.000  0.11
F 0.818 0.181 0.212  0.03
F 0.818 0.181 0.788  0.03
F 0.273 0.260 0.000  0.11
F 0.182 0.819 0.788  0.03
F 0.694 0.708 0.500  0.00
F 0.306 0.292 0.500  0.00

***

The following is a PBE calculation of a geometry-optimized Na2Ca4Sb3F2 structure, from Alexandria via LeMat-Bulk.

Computed properties:
E: -3.9885 eV/atom
Formation energy from raw total energies: -17.12 eV/f.u.
Total moment: 0.00 Bohr magnetons per cell

a = 4.947 Å, b = 4.947 Å, c = 12.704 Å
α = 101.23°, β = 101.23°, γ = 90.00°
Fractional positions:
Na 0.296 0.296 0.592
Na 0.704 0.704 0.408
Ca 0.414 0.914 0.828
Ca 0.914 0.414 0.828
Ca 0.086 0.586 0.172
Ca 0.586 0.086 0.172
Sb 0.000 0.000 0.000
Sb 0.167 0.167 0.333
Sb 0.833 0.833 0.667
F 0.412 0.412 0.824
F 0.588 0.588 0.176

***

The following is a PBE calculation of a geometry-optimized NaCa2SbF structure, from Alexandria via LeMat-Bulk.

Computed properties:
E: -3.7186 eV/atom
Formation energy from raw total energies: -7.28 eV/f.u.
Total moment: 0.00 Bohr magnetons per cell

a = 5.035 Å, b = 5.035 Å, c = 4.583 Å
α = 90.00°, β = 90.00°, γ = 90.00°
Fractional positions:
Sb 0.500 0.500 0.500
Ca 0.000 0.500 0.000
Ca 0.500 0.000 0.000
F 0.000 0.000 0.000
Na 0.000 0.000 0.500

***

The following is a PBE calculation of a geometry-optimized Na2CaScF8 structure, from Alexandria via LeMat-Bulk.

Computed properties:
E: -5.3446 eV/atom
Formation energy from raw total energies: -38.19 eV/f.u.
Total moment: 1.06 Bohr magnetons per cell

a = 3.772 Å, b = 5.570 Å, c = 7.501 Å
α = 90.00°, β = 90.00°, γ = 90.00°
Site moments in Bohr magnetons follow the coordinates.
Fractional positions:
Na 0.500 0.500 0.752  0.00
Na 0.500 0.500 0.248  0.00
Ca 0.000 0.000 0.500  -0.01
Sc 0.000 0.000 0.000  -0.02
F 0.000 0.772 0.224  0.11
F 0.500 0.785 0.000  0.13
F 0.000 0.228 0.224  0.11
F 0.000 0.228 0.776  0.11
F 0.500 0.215 0.000  0.13
F 0.000 0.772 0.776  0.11
F 0.500 0.757 0.500  0.15
F 0.500 0.243 0.500  0.15

***

How do the records compare in DOS(E_F)? In the order shown, they have 3.7; 6.1; 3.2; 8.9 states/eV per cell.
How do the records compare in calculated volume? In the order shown, they have 15.19; 27.17; 23.24; 13.13 Å³/atom.